[1]
Below is crystalline Zn3Sb2H42S8N14 at its relaxed geometry, with properties calculated at the PBE-GGA level.

Summary:
Space-group type = P-1 (2)
Calculated total energy = -4.78 eV/atom

```
Zn3Sb2H42S8N14
1.0
7.483 0.000 0.000
2.090 7.789 0.000
0.822 1.427 12.714
Zn Sb H S N
3 2 42 8 14
Cartesian
0.000 0.000 0.000
3.751 2.850 6.825
6.644 6.365 5.889
2.965 2.953 3.304
7.431 6.262 9.410
1.360 2.276 7.686
1.937 5.129 0.756
1.312 2.420 0.416
2.308 4.879 7.597
3.428 8.621 10.146
1.606 1.599 6.167
3.182 6.575 11.885
2.838 5.131 6.021
2.243 2.197 10.423
2.948 4.644 10.164
2.257 0.870 7.538
3.719 6.778 1.958
3.855 5.411 7.323
2.396 0.344 1.362
4.907 8.490 10.878
3.813 4.169 11.500
4.518 6.177 4.348
4.542 6.707 0.528
4.540 5.067 10.348
5.203 7.646 4.129
4.506 2.976 9.260
5.889 6.239 3.453
5.192 1.569 8.585
5.855 4.148 2.365
5.853 2.508 12.185
5.877 3.038 8.366
6.582 5.046 1.214
5.488 0.725 1.836
7.999 8.871 11.351
6.540 3.804 5.390
6.676 2.437 10.756
8.138 8.345 5.175
7.447 4.571 2.550
8.152 7.018 2.290
7.557 4.084 6.692
7.213 2.640 0.829
8.789 7.616 6.547
6.967 0.594 2.568
8.087 4.336 5.117
9.083 6.795 12.298
8.458 4.086 11.957
9.035 6.940 5.027
1.159 1.619 3.917
2.390 5.222 3.546
3.788 2.540 1.165
5.612 6.742 7.913
4.783 2.473 4.801
6.607 6.675 11.549
8.005 3.993 9.168
9.236 7.596 8.797
2.566 7.019 12.574
1.974 1.290 10.816
2.037 1.775 7.096
3.112 4.791 6.956
3.934 7.303 1.101
3.864 4.307 10.483
5.432 6.657 4.300
4.963 2.558 8.414
6.531 4.908 2.230
6.461 1.912 11.613
7.283 4.424 5.757
8.358 7.440 5.618
8.421 7.925 1.897
7.829 2.196 0.140
```

---

[2]
Below is crystalline H8WS4N2 at its relaxed geometry, with properties calculated at the PBE-GGA level.

Summary:
Space-group type = Pnma (62)
Calculated total energy = -5.30 eV/atom

```
H8WS4N2
1.0
9.586 0.000 0.000
0.000 6.973 0.000
0.000 0.000 12.260
H W S N
32 4 16 8
Cartesian
0.091 1.743 2.953
0.318 5.229 10.942
0.686 5.229 4.244
1.067 0.899 1.864
1.067 2.587 1.864
1.631 4.378 5.358
1.631 6.081 5.358
2.375 5.229 4.097
2.419 1.743 10.227
3.162 0.892 11.488
3.162 2.594 11.488
3.726 4.386 7.994
3.726 6.073 7.994
4.107 1.743 10.374
4.475 1.743 4.812
4.702 5.229 9.083
4.884 1.743 3.176
5.111 5.229 7.448
5.479 5.229 1.886
5.860 0.899 4.266
5.860 2.587 4.266
6.424 4.378 0.772
6.424 6.081 0.772
7.168 5.229 2.033
7.212 1.743 8.163
7.955 0.892 6.901
7.955 2.594 6.901
8.519 4.386 10.396
8.519 6.073 10.396
8.900 1.743 8.015
9.268 1.743 1.318
9.496 5.229 9.306
2.390 1.743 7.004
2.403 5.229 0.874
7.183 1.743 11.386
7.196 5.229 5.256
0.251 5.229 1.362
1.429 3.527 7.862
1.429 6.932 7.862
2.104 1.743 4.822
2.689 5.229 10.952
3.364 0.041 1.733
3.364 3.446 1.733
4.542 1.743 7.492
5.044 5.229 4.768
6.222 3.527 10.527
6.222 6.932 10.527
6.898 1.743 1.308
7.482 5.229 7.438
8.157 0.041 4.397
8.157 3.446 4.397
9.335 1.743 10.898
0.475 1.743 1.996
1.584 5.229 4.763
3.209 1.743 10.893
4.318 5.229 8.126
5.268 1.743 4.134
6.377 5.229 1.367
8.002 1.743 7.497
9.111 5.229 10.264
```

---

[3]
Below is crystalline Th2HN3 at its relaxed geometry, with properties calculated at the PBE-GGA level.

Summary:
Space-group type = P3m1 (156)
Calculated total energy = -8.50 eV/atom

```
Th2HN3
1.0
4.003 0.000 0.000
-2.001 3.467 0.000
0.000 0.000 6.120
Th H N
2 1 3
Cartesian
0.000 0.000 0.000
0.000 2.311 3.170
2.001 1.156 0.719
0.000 0.000 3.816
0.000 2.311 5.620
2.001 1.156 1.753
```

---

[4]
Below is crystalline UHN at its relaxed geometry, with properties calculated at the PBE-GGA level.

Summary:
Space-group type = F-43m (216)
Calculated total energy = -8.56 eV/atom

```
UHN
1.0
0.000 2.647 2.647
2.647 0.000 2.647
2.647 2.647 0.000
U H N
1 1 1
Cartesian
0.000 0.000 0.000
1.323 1.323 1.323
3.970 3.970 3.970
```

---

[5]
Below is crystalline NaSr2NbH6 at its relaxed geometry, with properties calculated at the PBE-GGA level.

Summary:
Space-group type = Fm-3m (225)
Calculated total energy = -3.79 eV/atom

```
NaSr2NbH6
1.0
0.000 4.024 4.024
4.024 0.000 4.024
4.024 4.024 0.000
Na Sr Nb H
1 2 1 6
Cartesian
0.000 0.000 0.000
2.012 2.012 2.012
6.035 6.035 6.035
4.024 4.024 4.024
4.024 4.024 2.093
4.024 2.093 4.024
5.954 4.024 4.024
2.093 4.024 4.024
4.024 5.954 4.024
4.024 4.024 5.954
```

---

[6]
Below is crystalline NaNd2H6Os at its relaxed geometry, with properties calculated at the PBE-GGA level.

Summary:
Space-group type = P2_1/c (14)
Calculated total energy = -4.50 eV/atom

```
NaNd2H6Os
1.0
5.438 0.000 0.000
0.000 5.462 0.000
-5.420 0.000 7.665
Na Nd H Os
2 4 12 2
Cartesian
0.000 0.000 0.000
-2.710 2.731 3.833
-2.706 0.004 5.750
0.004 2.727 1.917
0.014 2.736 5.748
2.724 5.458 1.915
-1.215 1.219 3.687
-3.925 1.512 7.520
-3.918 3.964 7.632
-1.207 4.230 3.800
-2.584 2.817 5.941
0.126 5.377 2.108
-0.108 0.085 5.557
2.602 2.646 1.724
1.225 1.233 3.865
3.936 1.498 0.033
3.943 3.950 0.145
1.233 4.244 3.978
0.009 0.000 3.833
2.719 2.731 0.000
```

---

[7]
Below is crystalline Na2NiH3 at its relaxed geometry, with properties calculated at the PBE-GGA level.

Summary:
Space-group type = P-3m1 (164)
Calculated total energy = -3.05 eV/atom

```
Na2NiH3
1.0
2.937 0.000 0.000
-1.469 2.544 0.000
0.000 0.000 7.826
Na Ni H
2 1 3
Cartesian
0.000 1.696 1.454
1.469 0.848 6.372
0.000 0.000 3.913
0.000 0.000 0.000
0.000 1.696 4.653
1.469 0.848 3.173
```

---

[8]
Below is crystalline NaNi2H3 at its relaxed geometry, with properties calculated at the PBE-GGA level.

Summary:
Space-group type = P-3m1 (164)
Calculated total energy = -3.77 eV/atom

```
NaNi2H3
1.0
2.746 0.000 0.000
-1.373 2.378 0.000
0.000 0.000 7.084
Na Ni H
1 2 3
Cartesian
0.000 0.000 0.000
0.000 1.585 4.617
1.373 0.793 2.467
0.000 0.000 3.542
0.000 1.585 1.762
1.373 0.793 5.322
```

---

[9]
Below is crystalline NaNiH2 at its relaxed geometry, with properties calculated at the PBE-GGA level.

Summary:
Space-group type = P4/mmm (123)
Calculated total energy = -3.22 eV/atom

```
NaNiH2
1.0
2.844 0.000 0.000
0.000 2.844 0.000
0.000 0.000 4.028
Na Ni H
1 1 2
Cartesian
0.000 0.000 0.000
1.422 1.422 2.014
0.000 0.000 2.014
1.422 1.422 0.000
```

---

[10]
Below is crystalline Na2NiH6Os at its relaxed geometry, with properties calculated at the PBE-GGA level.

Summary:
Space-group type = R-3 (148)
Calculated total energy = -3.96 eV/atom

```
Na2NiH6Os
1.0
2.444 1.411 3.995
-2.444 1.411 3.995
0.000 -2.822 3.995
Na Ni H Os
2 1 6 1
Cartesian
0.000 0.000 2.998
0.000 0.000 8.987
0.000 0.000 0.000
-0.004 -1.440 4.969
-1.245 0.723 4.969
-1.249 -0.716 7.017
1.249 0.716 4.969
1.245 -0.723 7.017
0.004 1.440 7.017
0.000 0.000 5.993
```

---

[11]
Below is crystalline Na2NiH6Pd at its relaxed geometry, with properties calculated at the PBE-GGA level.

Summary:
Space-group type = Fm-3m (225)
Calculated total energy = -3.57 eV/atom

```
Na2NiH6Pd
1.0
0.000 3.475 3.475
3.475 0.000 3.475
3.475 3.475 0.000
Na Ni H Pd
2 1 6 1
Cartesian
1.737 1.737 1.737
5.212 5.212 5.212
0.000 0.000 0.000
3.475 3.475 1.649
3.475 1.649 3.475
5.301 3.475 3.475
1.649 3.475 3.475
3.475 5.301 3.475
3.475 3.475 5.301
3.475 3.475 3.475
```

---

[12]
Below is crystalline Rb2NaNiH6 at its relaxed geometry, with properties calculated at the PBE-GGA level.

Summary:
Space-group type = Fm-3m (225)
Calculated total energy = -3.03 eV/atom

```
Rb2NaNiH6
1.0
0.000 4.050 4.050
4.050 0.000 4.050
4.050 4.050 0.000
Rb Na Ni H
2 1 1 6
Cartesian
2.025 2.025 2.025
6.075 6.075 6.075
0.000 0.000 0.000
4.050 4.050 4.050
4.050 4.050 2.467
4.050 2.467 4.050
5.634 4.050 4.050
2.467 4.050 4.050
4.050 5.634 4.050
4.050 4.050 5.634
```

---

[13]
Below is crystalline Na2TcNiH6 at its relaxed geometry, with properties calculated at the PBE-GGA level.

Summary:
Space-group type = P2_1/c (14)
Offset from the most stable computed form = 0.0000 eV per atom

```
Na2TcNiH6
1.0
9.758 0.000 0.000
0.000 8.730 0.000
-0.029 0.000 4.608
Na Tc Ni H
8 4 4 24
Cartesian
0.702 1.068 1.175
0.688 3.297 3.478
4.162 1.074 1.157
4.147 3.292 3.461
5.582 5.439 1.146
5.567 7.657 3.450
9.041 5.433 1.129
9.027 7.662 3.433
2.430 4.638 1.175
2.416 8.457 3.479
7.313 0.273 1.128
7.299 4.092 3.432
2.425 5.705 3.477
2.439 7.391 1.173
7.290 1.340 3.434
7.304 3.025 1.130
1.273 5.295 2.286
1.259 7.800 4.590
1.297 5.326 0.063
1.283 7.769 2.367
1.285 1.040 3.493
1.299 3.325 1.189
3.517 1.064 3.457
3.531 3.301 1.153
3.581 5.301 2.288
3.567 7.795 4.592
3.595 5.284 0.063
3.581 7.812 2.367
6.148 0.919 2.240
6.134 3.447 4.544
6.162 0.936 0.016
6.148 3.429 2.319
6.198 5.429 3.454
6.212 7.666 1.150
8.430 5.405 3.418
8.444 7.690 1.115
8.446 0.961 2.240
8.432 3.404 4.544
8.470 0.930 0.018
8.456 3.435 2.321
```

---

[14]
Below is crystalline Na2TcNiH6 at its relaxed geometry, with properties calculated at the PBE-GGA level.

Summary:
Space-group type = R-3 (148)
Offset from the most stable computed form = 0.0950 eV per atom

```
Na2TcNiH6
1.0
2.481 1.433 4.049
-2.481 1.433 4.049
0.000 -2.865 4.049
Na Tc Ni H
2 1 1 6
Cartesian
0.000 0.000 3.041
0.000 0.000 9.106
0.000 0.000 6.073
0.000 0.000 0.000
-0.034 -1.492 5.023
-1.309 -0.716 7.124
-1.275 0.775 5.023
1.275 -0.775 7.124
1.309 0.716 5.023
0.034 1.492 7.124
```

---

[15]
Below is crystalline Na2ZnNiH6 at its relaxed geometry, with properties calculated at the PBE-GGA level.

Summary:
Space-group type = Fm-3m (225)
Calculated total energy = -3.08 eV/atom

```
Na2ZnNiH6
1.0
0.000 3.505 3.505
3.505 0.000 3.505
3.505 3.505 0.000
Na Zn Ni H
2 1 1 6
Cartesian
1.752 1.752 1.752
5.257 5.257 5.257
0.000 0.000 0.000
3.505 3.505 3.505
3.505 3.505 1.875
3.505 1.875 3.505
5.135 3.505 3.505
1.875 3.505 3.505
3.505 5.135 3.505
3.505 3.505 5.135
```